Model w:
Computed, not measured: crystalline AlI3O at its relaxed geometry at the PBE level of DFT.

## Properties
* Fermi-level density of states: 18.108 states/eV/f.u.
* symmetry: Pm-3m, No. 221
* theoretical density: 4.23 g cm⁻³

a = 5.4977 Å, b = 5.4977 Å, c = 5.4977 Å
α = 90.00°, β = 90.00°, γ = 90.00°
With the nearest neighbours (Å) after each atom.
Fractional positions:
I: 0.0000 0.5000 0.0000  2 Al 2.75
I: 0.0000 0.0000 0.5000  2 Al 2.75
I: 0.5000 0.0000 0.0000  2 Al 2.75
Al: 0.0000 0.0000 0.0000  6 I 2.75
O: 0.5000 0.5000 0.5000  12 I 3.89



Model x:
Computed, not measured: crystalline AlI3O at its relaxed geometry at the PBE level of DFT.

## Properties
* Fermi-level density of states: 2.110 states/eV/f.u.
* symmetry: Pm-3m, No. 221
* theoretical density: 5.07 g cm⁻³

a = 5.1771 Å, b = 5.1771 Å, c = 5.1771 Å
α = 90.00°, β = 90.00°, γ = 90.00°
With the nearest neighbours (Å) after each atom.
Fractional positions:
I: 0.0000 0.5000 0.0000  2 O 2.59
I: 0.0000 0.0000 0.5000  2 O 2.59
I: 0.5000 0.0000 0.0000  2 O 2.59
Al: 0.5000 0.5000 0.5000  12 I 3.66
O: 0.0000 0.0000 0.0000  6 I 2.59



Here are the energies relative to the best structure, in meV per atom: model w 229; model x 0.



Model w:
Computed, not measured: crystalline AlI2O8 at its relaxed geometry at the PBE level of DFT.

## Properties
* Fermi-level density of states: 1.733 states/eV/f.u.
* symmetry: P-3, No. 147
* theoretical density: 3.79 g cm⁻³

a = 6.4573 Å, b = 5.6586 Å, c = 5.6586 Å
α = 120.00°, β = 90.00°, γ = 90.00°
With the nearest neighbours (Å) after each atom.
Fractional positions:
Al: 0.0000 0.0000 0.0000  6 O 1.91
I: 0.2619 0.3333 0.6667  4 O 1.78-1.85
I: 0.7381 0.6667 0.3333  4 O 1.78-1.85
O: 0.4630 0.6667 0.3333  1 I 1.78
O: 0.5370 0.3333 0.6667  1 I 1.78
O: 0.8143 0.8475 0.1502  1 I 1.85, 1 Al 1.91
O: 0.1857 0.1503 0.3027  1 I 1.85, 1 Al 1.91
O: 0.1857 0.6974 0.8476  1 I 1.85, 1 Al 1.91
O: 0.1857 0.1525 0.8498  1 I 1.85, 1 Al 1.91
O: 0.8143 0.8498 0.6973  1 I 1.85, 1 Al 1.91
O: 0.8143 0.3026 0.1524  1 I 1.85, 1 Al 1.91



Model x:
Computed, not measured: crystalline AlI2O8 at its relaxed geometry at the PBE level of DFT.

## Properties
* Fermi-level density of states: 3.326 states/eV/f.u.
* symmetry: C2/m, No. 12
* theoretical density: 3.06 g cm⁻³

a = 4.9986 Å, b = 6.8578 Å, c = 6.8578 Å
α = 82.30°, β = 76.92°, γ = 76.92°
With the nearest neighbours (Å) after each atom.
Fractional positions:
Al: 0.0000 0.0000 0.0000  6 O 1.95-1.96
I: 0.7299 0.7962 0.7962  4 O 1.81-1.88
I: 0.2701 0.2038 0.2038  4 O 1.81-1.88
O: 0.1505 0.2437 0.9581  1 I 1.88, 1 Al 1.95
O: 0.8495 0.0419 0.7563  1 I 1.88, 1 Al 1.95
O: 0.3414 0.8444 0.8444  1 I 1.85, 1 Al 1.96
O: 0.6586 0.1556 0.1556  1 I 1.85, 1 Al 1.96
O: 0.1505 0.9581 0.2437  1 I 1.88, 1 Al 1.95
O: 0.8495 0.7563 0.0419  1 I 1.88, 1 Al 1.95
O: 0.8836 0.6137 0.6137  1 I 1.81
O: 0.1164 0.3863 0.3863  1 I 1.81



Here are the energies relative to the best structure, in meV per atom: model w 0; model x 78.



Model w:
Computed, not measured: crystalline AlOsIO2 at its relaxed geometry at the PBE level of DFT.

## Properties
* Fermi-level density of states: 3.377 states/eV/f.u.
* symmetry: P4/mmm, No. 123
* theoretical density: 6.72 g cm⁻³

a = 3.6794 Å, b = 3.6794 Å, c = 6.8657 Å
α = 90.00°, β = 90.00°, γ = 90.00°
With the nearest neighbours (Å) after each atom.
Fractional positions:
I: 0.0000 0.0000 0.5000  4 Os 2.60
Os: 0.5000 0.5000 0.5000  4 I 2.60
Al: 0.0000 0.0000 0.0000  4 O 1.84
O: 0.0000 0.5000 0.0000  2 Al 1.84
O: 0.5000 0.0000 0.0000  2 Al 1.84



Model x:
Computed, not measured: crystalline AlOsIO2 at its relaxed geometry at the PBE level of DFT.

## Properties
* Fermi-level density of states: 2.923 states/eV/f.u.
* symmetry: P4/mmm, No. 123
* theoretical density: 5.24 g cm⁻³

a = 3.8491 Å, b = 3.8491 Å, c = 8.0513 Å
α = 90.00°, β = 90.00°, γ = 90.00°
With the nearest neighbours (Å) after each atom.
Fractional positions:
I: 0.0000 0.0000 0.5000  4 Al 2.72
Os: 0.0000 0.0000 0.0000  4 O 1.92
Al: 0.5000 0.5000 0.5000  4 I 2.72
O: 0.0000 0.5000 0.0000  2 Os 1.92
O: 0.5000 0.0000 0.0000  2 Os 1.92



Here are the energies relative to the best structure, in meV per atom: model w 60; model x 0.